(1)
CrCl2 after structural relaxation, computed with GGA-PBE.

Summary:
The calculation puts the total magnetic moment at 4.0 Bohr magnetons per cell. The formation energy without anion corrections is -253 kJ/mol of formula units. As for the symmetry: No. 164. The calculation puts the total energy at -15.94 eV/cell. The calculation puts the energy above the most stable polymorph in this dataset at 0.18 eV/f.u.

Lattice parameters (Å, degrees): 3.6528 3.6528 6.3220 90.00 90.00 120.00
Positions (direct):
1 Cr 0.0000 0.0000 0.0000
2 Cl 0.3333 0.6667 0.2166
3 Cl 0.6667 0.3333 0.7834


(2)
Dy3Ni2Sn4 after structural relaxation, computed with GGA-PBE.

Summary:
The calculation puts the total magnetic moment at 0.0 Bohr magnetons per cell. As for the symmetry: No. 12. The calculation puts the total energy at -47.06 eV/cell. The calculation puts the formation energy at -0.631 eV/atom.

Lattice parameters (Å, degrees): 6.0574 6.0574 8.5278 103.56 103.56 42.80
Positions (direct):
1 Dy 0.0000 0.0000 0.0000
2 Dy 0.3712 0.3712 0.3123
3 Dy 0.6288 0.6288 0.6877
4 Ni 0.2951 0.2951 0.6041
5 Ni 0.7049 0.7049 0.3959
6 Sn 0.0860 0.0860 0.3851
7 Sn 0.2970 0.2970 0.9122
8 Sn 0.7030 0.7030 0.0878
9 Sn 0.9140 0.9140 0.6149


(3)
Co3Ir6Rh2 after structural relaxation, computed with GGA-PBE.

Summary:
The calculation puts the total magnetic moment at 5.5 Bohr magnetons per cell. As for the symmetry: No. 2. The calculation puts the total energy at -86.96 eV/cell. The calculation puts the formation energy at 0.202 eV/atom.

Lattice parameters (Å, degrees): 4.5599 6.3752 6.4343 64.41 75.11 69.62
Positions (direct):
1 Co 0.0000 0.0000 0.0000
2 Co 0.0435 0.6959 0.4010
3 Co 0.9565 0.3041 0.5990
4 Ir 0.1556 0.1112 0.2976
5 Ir 0.1954 0.5643 0.0540
6 Ir 0.4360 0.2312 0.8536
7 Ir 0.5640 0.7688 0.1464
8 Ir 0.8046 0.4357 0.9460
9 Ir 0.8444 0.8888 0.7024
10 Rh 0.4709 0.6975 0.5989
11 Rh 0.5291 0.3025 0.4011